Computed, not measured: ZnCdFeHg after structural relaxation at the GGA-PBE level of DFT.

As for the uncorrected energy: -37.45 eV for the cell shown. Its energy above the lowest structure with this stoichiometry is 0.000 eV per atom. The calculation puts the total magnetic moment at 0.644 μB/atom. The calculation puts the calculated formation energy at 135 kJ/mol of formula units.

It has space group F-43m (No. 216), with a = 6.5474 Å, b = 6.5474 Å, c = 6.5474 Å, α = 90.00°, β = 90.00° and γ = 90.00°. The asymmetric unit holds Zn at (0.0000, 0.0000, 0.0000), Cd at (0.2500, 0.2500, 0.7500), Fe at (0.2500, 0.2500, 0.2500) and Hg at (0.0000, 0.0000, 0.5000).

---

Computed, not measured: PrYSi2Os after structural relaxation at the GGA-PBE level of DFT.

As for the uncorrected energy: -147.87 eV for the cell shown. The calculation puts the total magnetic moment at 0.038 μB/atom.

It has space group C2/m (No. 12), with a = 10.8603 Å, b = 4.2647 Å, c = 10.2397 Å, α = 90.00°, β = 118.92° and γ = 90.00°. The asymmetric unit holds Pr at (0.1913, 0.0000, 0.1087), Y at (0.0039, 0.0000, 0.6748), Si at (0.0032, 0.5000, 0.1309), Si at (0.1476, 0.5000, 0.5601) and Os at (0.2299, 0.5000, 0.3769).

---

Computed, not measured: Gd3Dy2ScTe2Ir after structural relaxation at the GGA-PBE level of DFT.

As for the uncorrected energy: -105.13 eV for the cell shown. The calculation puts the total magnetic moment at 0.003 μB/atom.

It has space group Amm2 (No. 38), with a = 4.0086 Å, b = 14.2213 Å, c = 8.3248 Å, α = 90.00°, β = 90.00° and γ = 90.00°. The asymmetric unit holds Gd at (0.0000, 0.0000, 0.0000), Gd at (0.0000, 0.1950, 0.3939), Dy at (0.5000, 0.1176, 0.7130), Sc at (0.5000, 0.0000, 0.3537), Te at (0.5000, 0.1649, 0.0943) and Ir at (0.0000, 0.0000, 0.5634).

---

Computed, not measured: NbTc2B2 after structural relaxation at the GGA-PBE level of DFT.

As for the uncorrected energy: -91.49 eV for the cell shown. Its energy above the lowest structure with this stoichiometry is 0.000 eV per atom. The calculation puts the total magnetic moment at 0.000 μB/atom.

It has space group P4/mbm (No. 127), with a = 6.2088 Å, b = 6.2088 Å, c = 2.9971 Å, α = 90.00°, β = 90.00° and γ = 90.00°. The asymmetric unit holds Nb at (0.0000, 0.0000, 0.0000), Tc at (0.1616, 0.3384, 0.5000) and B at (0.1177, 0.6177, 0.0000).

---

Computed, not measured: CsTm after structural relaxation at the GGA-PBE level of DFT.

As for the uncorrected energy: -10.38 eV for the cell shown. Its energy above the lowest structure with this stoichiometry is 0.612 eV per atom. The calculation puts the total magnetic moment at 0.001 μB/atom.

It has space group Fm-3m (No. 225), with a = 7.6653 Å, b = 7.6653 Å, c = 7.6653 Å, α = 90.00°, β = 90.00° and γ = 90.00°. The asymmetric unit holds Cs at (0.0000, 0.0000, 0.0000) and Tm at (0.0000, 0.0000, 0.5000).

---

Computed, not measured: Cd2Re2As3P after structural relaxation at the GGA-PBE level of DFT.

As for the uncorrected energy: -86.83 eV for the cell shown. The calculation puts the total magnetic moment at 0.002 μB/atom.

It has space group C2 (No. 5), with a = 12.5642 Å, b = 5.8759 Å, c = 5.9847 Å, α = 90.00°, β = 117.08° and γ = 90.00°. The asymmetric unit holds Cd at (0.1192, 0.0000, 0.3567), Re at (0.1216, 0.4784, 0.8738), As at (0.0000, 0.6851, 0.5000), As at (0.2500, 0.2252, 0.7974) and P at (0.0000, 0.2974, 0.0000).

---

Computed, not measured: Er4S3N after structural relaxation at the GGA-PBE level of DFT.

As for the uncorrected energy: -107.07 eV for the cell shown. The calculation puts the total magnetic moment at 0.000 μB/atom.

It has space group I4/mmm (No. 139), with a = 5.3392 Å, b = 5.3392 Å, c = 10.6475 Å, α = 90.00°, β = 90.00° and γ = 90.00°. The asymmetric unit holds Er at (0.0000, 0.0000, 0.2181), Er at (0.0000, 0.5000, 0.0000), S at (0.0000, 0.0000, 0.5000), S at (0.0000, 0.5000, 0.2500) and N at (0.0000, 0.0000, 0.0000).

---

Computed, not measured: AcZr after structural relaxation at the GGA-PBE level of DFT.

As for the uncorrected energy: -23.81 eV for the cell shown. Its energy above the lowest structure with this stoichiometry is 0.235 eV per atom. The calculation puts the total magnetic moment at 0.001 μB/atom. The calculation puts the calculated formation energy at 72 kJ/mol of formula units.

It has space group Pmmn (No. 59, origin choice 2), with a = 3.5375 Å, b = 5.8436 Å, c = 6.0851 Å, α = 90.00°, β = 90.00° and γ = 90.00°. The asymmetric unit holds Ac at (0.2500, 0.2500, 0.1097) and Zr at (0.2500, 0.7500, 0.4192).

---

> total magnetic moment of number 4 (NbTc2B2)?

0.000 μB/atom

---

> What is the uncorrected energy in the fourth record?

-91.49 eV for the cell shown

---

> Number 3 is which compound?

Gd3Dy2ScTe2Ir